Entry 1:
Li2AcMgCd4, optimized geometry, DFT PBE; crystal system = trigonal; DFT total energy = -1.860 eV per atom; total magnetization = 0.00 μB per formula unit; formation energy from the elements = -4.876 kcal/mol of atoms
1.0
4.782 0.000 0.000
2.391 4.142 0.000
2.391 1.381 9.841
Li Ac Cd Mg
2 1 4 1
Direct
0.231 0.231 0.307
0.769 0.769 0.693
0.000 0.000 0.000
0.876 0.876 0.373
0.402 0.402 0.794
0.598 0.598 0.206
0.124 0.124 0.627
0.500 0.500 0.500



Entry 2:
Li4AcMgCd2, optimized geometry, DFT PBE; crystal system = trigonal; DFT total energy = -1.992 eV per atom; total magnetization = 0.00 μB per formula unit; formation energy from the elements = -2.156 kcal/mol of atoms
1.0
5.091 0.000 0.000
2.546 4.409 0.000
2.546 1.470 7.986
Li Cd Mg Ac
4 2 1 1
Direct
0.138 0.138 0.587
0.862 0.862 0.413
0.386 0.386 0.841
0.614 0.614 0.159
0.253 0.253 0.241
0.747 0.747 0.759
0.500 0.500 0.500
0.000 0.000 0.000